(1)
Compound: KCrTc2
Source: Alexandria
Functional: PBE-GGA
Structure: relaxed

Values from the calculation:
Energy above the lowest structure with this stoichiometry   0.618 eV per atom
Formation enthalpy at 0 K   1367 meV/atom
Symmetry   C2/m (12)

Cell and atoms, written as POSCAR:
```
KCrTc2
1.0
2.6716 -5.0318 0.0000
2.6716 5.0318 0.0000
-0.5136 0.0000 2.5717
K Cr Tc
1 1 2
Cartesian
0.0000 0.0000 0.0000
2.6716 0.0000 0.0000
1.0790 2.5159 1.2858
1.0790 -2.5159 1.2858
```

(2)
Compound: Na3Y3NbS8
Source: Alexandria
Functional: PBE-GGA
Structure: relaxed

Values from the calculation:
Energy relative to the elements, uncorrected   -1.6239 eV/atom
Symmetry   R-3m (166)

Cell and atoms, written as POSCAR:
```
Na3Y3NbS8
1.0
3.8954 2.2490 6.7777
-3.8954 2.2490 6.7777
0.0000 -4.4980 6.7777
Na Y Nb S
3 3 1 8
Cartesian
-1.9477 -1.1245 6.7777
-1.9477 1.1245 13.5553
0.0000 2.2490 6.7777
-3.8954 0.0000 10.1665
-1.9477 1.1245 3.3888
1.9477 1.1245 3.3888
0.0000 0.0000 10.1665
0.0000 0.0000 4.9400
-1.8151 -1.0479 11.6230
0.0000 -2.0959 8.7100
-1.8151 1.0479 8.7100
1.8151 -1.0479 11.6230
0.0000 2.0959 11.6230
1.8151 1.0479 8.7100
0.0000 0.0000 15.3930
```

(3)
Compound: Mg2ScCr
Source: Alexandria
Functional: PBE-GGA
Structure: relaxed

Values from the calculation:
Energy above the lowest structure with this stoichiometry   0.086 eV per atom
Formation enthalpy at 0 K   260 meV/atom
Symmetry   P2/m (10)

Cell and atoms, written as POSCAR:
```
Mg2ScCr
1.0
3.0590 0.0000 0.0000
0.0000 4.8395 0.0000
-1.4443 0.0000 5.6397
Mg Sc Cr
2 1 1
Cartesian
0.1948 0.0000 1.4901
1.4199 0.0000 4.1495
1.5295 2.4197 0.0000
-0.7221 2.4197 2.8198
```

(4)
Compound: Tb8SnGe5
Source: Alexandria
Functional: PBE-GGA
Structure: relaxed

Values from the calculation:
Formation enthalpy at 0 K   -831 meV/atom
Symmetry   I-4 (82)

Cell and atoms, written as POSCAR:
```
Tb8SnGe5
1.0
-4.4940 4.4940 4.4653
4.4940 -4.4940 4.4653
4.4940 4.4940 -4.4653
Tb Sn Ge
8 1 5
Cartesian
3.9155 2.8147 -1.6745
6.0702 0.6150 0.5462
0.6150 2.9178 -0.5462
0.5785 1.6793 2.7908
3.8790 1.5762 3.9191
1.6793 -0.5785 6.1398
2.8147 5.0725 1.6745
-1.5762 3.8790 5.0115
0.0000 0.0000 0.0000
2.2522 -1.1401 3.3413
3.3539 2.2417 1.1241
2.2417 5.6341 -1.1241
0.0000 4.4940 2.2327
1.1401 2.2522 5.5894
```

(5)
Compound: ZnCo2Pt
Source: Alexandria
Functional: PBE-GGA
Structure: relaxed

Values from the calculation:
Formation enthalpy at 0 K   -126 meV/atom
Symmetry   Pmm2 (25)

Cell and atoms, written as POSCAR:
```
ZnCo2Pt
1.0
2.7182 0.0000 0.0000
0.0000 3.4895 0.0000
0.0000 0.0000 5.4423
Zn Co Pt
1 2 1
Cartesian
0.0000 0.0000 0.0000
0.0000 0.0000 2.5090
1.3591 1.7448 1.3829
1.3591 1.7448 4.0087
```

(6)
Compound: La2YCdCo
Source: Alexandria
Functional: PBE-GGA
Structure: relaxed

Values from the calculation:
Formation enthalpy at 0 K   -158 meV/atom
Symmetry   P4/mmm (123)

Cell and atoms, written as POSCAR:
```
La2YCdCo
1.0
5.2146 0.0000 0.0000
0.0000 5.2146 0.0000
0.0000 0.0000 5.4576
La Y Cd Co
2 1 1 1
Cartesian
0.0000 2.6073 0.0000
2.6073 0.0000 0.0000
0.0000 0.0000 2.7288
2.6073 2.6073 2.7288
0.0000 0.0000 0.0000
```

(7)
Compound: La3CdIr
Source: Alexandria
Functional: PBE-GGA
Structure: relaxed

Values from the calculation:
Energy above the lowest structure with this stoichiometry   0.595 eV per atom
Formation enthalpy at 0 K   107 meV/atom
Symmetry   Amm2 (38)

Cell and atoms, written as POSCAR:
```
La3CdIr
1.0
4.0670 0.0000 0.0000
0.0000 3.9884 8.0447
0.0000 -3.9884 8.0447
La Cd Ir
3 1 1
Cartesian
0.0000 0.0000 0.0000
2.0335 -2.0843 5.1078
2.0335 2.0843 5.1078
2.0335 0.0000 2.5479
0.0000 0.0000 13.3799
```